Material: PmEr5In3
Method: DFT, PBE
State: relaxed

Calculated values
For the formation energy, the calculation gives -3.13 eV/f.u. The value obtained for the volume is 251.8 Å³/f.u. As for the final energy: -77.83 eV per cell. The calculation puts the magnetic moment at 0.02 μB per formula unit.

a = 9.3147 Å, b = 9.3147 Å, c = 6.7006 Å
α = 90.00°, β = 90.00°, γ = 120.00°
Last column: nearest neighbours and their distance in Å.
Space group P6_3/mcm (No. 193)
Unique sites:
Pm 0.0000 0.0000 0.0000 (multiplicity 2)  2 Pm 3.35, 6 Er 3.51, 6 In 3.58
Er 0.0000 0.3312 0.2500 (multiplicity 6)  5 In 3.07-3.35
Er 0.3333 0.6667 0.0000 (multiplicity 4)  8 Er 3.35-3.54, 6 In 3.50
In 0.0000 0.3391 0.7500 (multiplicity 6)  5 Er 3.07-3.35

---

Material: PmEr6In
Method: DFT, PBE
State: relaxed

Calculated values
For the formation energy, the calculation gives -0.85 eV/f.u. The value obtained for the volume is 237.1 Å³/f.u. As for the final energy: -35.72 eV per cell. The calculation puts the magnetic moment at 0.00 μB per formula unit.

a = 4.8819 Å, b = 4.8819 Å, c = 9.9470 Å
α = 90.00°, β = 90.00°, γ = 90.00°
Last column: nearest neighbours and their distance in Å.
Space group P4/mmm (No. 123)
Unique sites:
Pm 0.0000 0.0000 0.0000 (multiplicity 1)  12 Er 3.45-3.54
Er 0.0000 0.5000 0.2574 (multiplicity 4)  2 In 3.43, 8 Er 3.43-3.54, 2 Pm 3.54
Er 0.5000 0.5000 0.0000 (multiplicity 1)  4 Pm 3.45, 8 Er 3.54
Er 0.5000 0.5000 0.5000 (multiplicity 1)  8 Er 3.43, 4 In 3.45
In 0.0000 0.0000 0.5000 (multiplicity 1)  12 Er 3.43-3.45

---

Material: Pm3Er2In2
Method: DFT, PBE
State: relaxed

Calculated values
For the formation energy, the calculation gives -1.14 eV/f.u. The value obtained for the volume is 208.0 Å³/f.u. The calculation puts the relative energy among the computed polymorphs at 0.000 eV per atom. As for the final energy: -60.00 eV per cell. The calculation puts the magnetic moment at 0.14 μB per formula unit.

a = 4.9775 Å, b = 23.8137 Å, c = 3.5091 Å
α = 90.00°, β = 90.00°, γ = 90.00°
Last column: nearest neighbours and their distance in Å.
Space group Cmmm (No. 65)
Unique sites:
Pm 0.0000 0.0000 0.0000 (multiplicity 2)  4 Pm 3.40-3.51, 8 In 3.49
Pm 0.0000 0.1430 0.0000 (multiplicity 4)  3 Pm 3.40-3.51, 4 Er 3.47, 4 In 3.49
Er 0.0000 0.2873 0.5000 (multiplicity 4)  2 Er 3.06, 1 In 3.37
In 0.0000 0.4286 0.5000 (multiplicity 4)  1 Er 3.37, 3 In 3.40-3.51, 8 Pm 3.49

---

Material: PmEr2In9
Method: DFT, PBE
State: relaxed

Calculated values
For the formation energy, the calculation gives -4.94 eV/f.u. The value obtained for the volume is 301.1 Å³/f.u. As for the final energy: -43.46 eV per cell. The calculation puts the magnetic moment at 0.00 μB per formula unit.

a = 4.6507 Å, b = 4.6507 Å, c = 13.9228 Å
α = 90.00°, β = 90.00°, γ = 90.00°
Last column: nearest neighbours and their distance in Å.
Space group P4/mmm (No. 123)
Unique sites:
Pm 0.0000 0.0000 0.0000 (multiplicity 1)  12 In 3.29-3.32
Er 0.0000 0.0000 0.3347 (multiplicity 2)  12 In 3.26-3.29
In 0.0000 0.5000 0.1702 (multiplicity 4)  8 In 3.26-3.32, 2 Er 3.26, 2 Pm 3.32
In 0.0000 0.5000 0.5000 (multiplicity 2)  4 Er 3.27, 8 In 3.28-3.29
In 0.5000 0.5000 0.0000 (multiplicity 1)  4 Pm 3.29, 8 In 3.32
In 0.5000 0.5000 0.3341 (multiplicity 2)  8 In 3.26-3.28, 4 Er 3.29

---

Material: PmEr12In3
Method: DFT, PBE
State: relaxed

Calculated values
For the formation energy, the calculation gives -2.94 eV/f.u. The value obtained for the volume is 458.2 Å³/f.u. As for the final energy: -70.67 eV per cell. The calculation puts the magnetic moment at 0.00 μB per formula unit.

a = 4.8276 Å, b = 4.8276 Å, c = 19.6591 Å
α = 90.00°, β = 90.00°, γ = 90.00°
Last column: nearest neighbours and their distance in Å.
Space group P4/mmm (No. 123)
Unique sites:
Pm 0.0000 0.0000 0.0000 (multiplicity 1)  12 Er 3.41-3.54
Er 0.0000 0.5000 0.1319 (multiplicity 4)  8 Er 3.41-3.54, 2 In 3.44, 2 Pm 3.54
Er 0.0000 0.5000 0.3777 (multiplicity 4)  4 In 3.39-3.41, 8 Er 3.40-3.41
Er 0.5000 0.5000 0.0000 (multiplicity 1)  4 Pm 3.41, 8 Er 3.54
Er 0.5000 0.5000 0.2562 (multiplicity 2)  8 Er 3.40-3.44, 4 In 3.41
Er 0.5000 0.5000 0.5000 (multiplicity 1)  8 Er 3.41, 4 In 3.41
In 0.0000 0.0000 0.2568 (multiplicity 2)  12 Er 3.39-3.44
In 0.0000 0.0000 0.5000 (multiplicity 1)  12 Er 3.41

---

Material: Pm6Er12In
Method: DFT, PBE
State: relaxed

Calculated values
For the formation energy, the calculation gives 1.32 eV/f.u. The value obtained for the volume is 603.4 Å³/f.u. As for the final energy: -254.04 eV per cell. The calculation puts the magnetic moment at 0.00 μB per formula unit.

a = 11.8525 Å, b = 11.8525 Å, c = 14.8803 Å
α = 90.00°, β = 90.00°, γ = 120.00°
Last column: nearest neighbours and their distance in Å.
Space group R-3 (No. 148, hexagonal axes)
Unique sites:
Pm 0.0129 0.5903 0.1821 (multiplicity 18)  7 Er 3.30-3.64, 1 In 3.44, 2 Pm 3.47
Er 0.0032 0.1742 0.6869 (multiplicity 18)  4 Pm 3.38-3.64, 4 Er 3.43-3.60, 1 In 3.45
Er 0.0447 0.1927 0.9159 (multiplicity 18)  6 Er 3.25-3.60, 3 Pm 3.30-3.41
In 0.0000 0.0000 0.5000 (multiplicity 3)  6 Pm 3.44, 6 Er 3.45

---

Material: PmEr6In3
Method: DFT, PBE
State: relaxed

Calculated values
For the formation energy, the calculation gives -1.32 eV/f.u. The value obtained for the volume is 303.1 Å³/f.u. As for the final energy: -166.65 eV per cell. The calculation puts the magnetic moment at 0.00 μB per formula unit.

a = 10.4294 Å, b = 15.1057 Å, c = 7.6947 Å
α = 90.00°, β = 90.00°, γ = 90.00°
Last column: nearest neighbours and their distance in Å.
Space group Cmc2_1 (No. 36)
Unique sites:
Pm 0.0000 0.2179 0.0000 (multiplicity 4)  5 Er 3.31-3.54, 2 In 3.37
Er 0.0000 0.0491 0.2834 (multiplicity 4)  4 In 3.31-3.45, 1 Pm 3.35, 6 Er 3.40-3.69
Er 0.0000 0.2986 0.4576 (multiplicity 4)  3 In 3.21-3.30, 6 Er 3.47-3.55
Er 0.2305 0.4668 0.4735 (multiplicity 8)  4 In 3.11-3.28, 2 Er 3.34-3.40
Er 0.2382 0.3130 0.7860 (multiplicity 8)  3 In 3.08-3.19, 1 Pm 3.31, 2 Er 3.34-3.43
In 0.0000 0.4451 0.7602 (multiplicity 4)  7 Er 3.19-3.28
In 0.1481 0.1321 0.6492 (multiplicity 8)  6 Er 3.08-3.31, 1 In 3.09, 1 Pm 3.37

---

Material: Pm4Er3In2
Method: DFT, PBE
State: relaxed

Calculated values
For the formation energy, the calculation gives -1.65 eV/f.u. The value obtained for the volume is 275.7 Å³/f.u. As for the final energy: -39.82 eV per cell. The calculation puts the magnetic moment at 0.00 μB per formula unit.

a = 5.3699 Å, b = 6.7531 Å, c = 8.5622 Å
α = 103.37°, β = 90.07°, γ = 113.41°
Last column: nearest neighbours and their distance in Å.
Space group P-1 (No. 2)
Unique sites:
Pm 0.1156 0.2313 0.1573 (multiplicity 2)  3 In 3.38-3.45, 4 Pm 3.40-3.71, 5 Er 3.58-3.69
Pm 0.3311 0.6621 0.5347 (multiplicity 2)  1 In 3.18, 2 Pm 3.32, 2 Er 3.46
Er 0.0000 0.0000 0.5000 (multiplicity 1)  2 In 3.23, 6 Pm 3.46-3.58
Er 0.4206 0.8403 0.1463 (multiplicity 2)  3 In 3.16-3.34
In 0.2060 0.4130 0.8173 (multiplicity 2)  4 Er 3.16-3.34, 4 Pm 3.18-3.45

---

Material: Pm5ErIn2
Method: DFT, PBE
State: relaxed

Calculated values
For the formation energy, the calculation gives -1.22 eV/f.u. The value obtained for the volume is 249.5 Å³/f.u. The calculation puts the relative energy among the computed polymorphs at 0.120 eV per atom. As for the final energy: -70.03 eV per cell. The calculation puts the magnetic moment at 0.00 μB per formula unit.

a = 3.6360 Å, b = 10.9866 Å, c = 12.4937 Å
α = 90.00°, β = 90.00°, γ = 90.00°
Last column: nearest neighbours and their distance in Å.
Space group Immm (No. 71)
Unique sites:
Pm 0.0000 0.0000 0.0000 (multiplicity 2)  2 In 3.44, 10 Pm 3.49-3.64
Pm 0.0000 0.2789 0.3619 (multiplicity 8)  3 In 3.25-3.48, 7 Pm 3.39-3.64
Er 0.0000 0.5000 0.0000 (multiplicity 2)  4 In 3.35, 2 Er 3.64
In 0.0000 0.0000 0.2751 (multiplicity 4)  7 Pm 3.25-3.48, 2 Er 3.35, 2 In 3.64

---

Material: Pm6ErIn
Method: DFT, PBE
State: relaxed

Calculated values
For the formation energy, the calculation gives -0.97 eV/f.u. The value obtained for the volume is 255.4 Å³/f.u. As for the final energy: -36.78 eV per cell. The calculation puts the magnetic moment at 0.00 μB per formula unit.

a = 4.9945 Å, b = 4.9945 Å, c = 10.2392 Å
α = 90.00°, β = 90.00°, γ = 90.00°
Last column: nearest neighbours and their distance in Å.
Space group P4/mmm (No. 123)
Unique sites:
Pm 0.0000 0.0000 0.0000 (multiplicity 1)  8 Pm 3.53, 4 In 3.53
Pm 0.0000 0.0000 0.5000 (multiplicity 1)  4 Er 3.53, 8 Pm 3.62
Pm 0.0000 0.5000 0.2437 (multiplicity 4)  2 In 3.53, 8 Pm 3.53-3.62, 2 Er 3.62
Er 0.5000 0.5000 0.5000 (multiplicity 1)  12 Pm 3.53-3.62
In 0.5000 0.5000 0.0000 (multiplicity 1)  12 Pm 3.53

---

- Which of these has the lowest volume?
  Pm3Er2In2